{"formula": "Ni2Pt", "functional": "PBE-GGA", "state": "optimized geometry", "cell": [[-1.434, 1.791, -1.363], [0.358, -4.465, -3.630], [-4.366, -2.766, 0.959]], "species": ["Ni", "Ni", "Ni", "Ni", "Pt", "Pt"], "fractional_positions": [[0.361, 0.722, 0.761], [0.698, 0.397, 0.610], [0.024, 0.048, 0.446], [0.361, 0.723, 0.295], [0.022, 0.044, 0.937], [0.700, 0.401, 0.118]], "delta_e_f_ev_per_atom": -0.051}


{"formula": "AcPrGe4", "functional": "PBE-GGA", "state": "optimized geometry", "cell": [[-5.501, -1.447, -1.418], [-1.265, -5.496, -1.602], [-3.136, -3.443, 3.561]], "species": ["Pr", "Ac", "Ge", "Ge", "Ge", "Ge"], "fractional_positions": [[0.250, 0.250, 0.250], [0.000, 0.000, 0.000], [0.620, 0.620, 0.141], [0.620, 0.141, 0.620], [0.620, 0.620, 0.620], [0.141, 0.620, 0.620]], "delta_e_f_ev_per_atom": -0.369, "polymorph_energy_mev_per_atom": 228}


{"formula": "Li2FeCuC6N6", "functional": "PBE-GGA", "state": "optimized geometry", "cell": [[6.474, -0.594, -3.188], [4.676, -5.065, 2.216], [1.443, -5.695, -4.233]], "species": ["Li", "Li", "Fe", "Cu", "C", "C", "C", "C", "C", "C", "N", "N", "N", "N", "N", "N"], "fractional_positions": [[0.750, 0.750, 0.750], [0.250, 0.250, 0.250], [0.000, 0.000, 0.000], [0.500, 0.500, 0.500], [0.182, 0.182, 0.818], [0.182, 0.818, 0.818], [0.818, 0.182, 0.182], [0.182, 0.818, 0.182], [0.818, 0.818, 0.182], [0.818, 0.182, 0.818], [0.702, 0.298, 0.702], [0.702, 0.702, 0.298], [0.702, 0.298, 0.298], [0.298, 0.702, 0.298], [0.298, 0.702, 0.702], [0.298, 0.298, 0.702]], "formation_energy_uncorrected_mev_per_atom": 269}


{"formula": "TaCoRh2", "functional": "PBE-GGA", "state": "optimized geometry", "cell": [[-0.803, 2.028, 1.735], [-1.573, -1.823, 1.403], [5.738, -1.530, 4.445]], "species": ["Co", "Rh", "Rh", "Ta"], "fractional_positions": [[0.500, 0.500, 0.761], [0.000, 0.000, 0.981], [0.500, 0.500, 0.248], [0.000, 0.000, 0.511]], "delta_e_f_ev_per_atom": -0.094}


{"formula": "LaNd4Y3Te8", "functional": "PBE-GGA", "state": "optimized geometry", "cell": [[-1.666, -7.110, 5.074], [8.420, 0.199, 3.044], [-5.115, 7.244, 0.679]], "species": ["La", "Nd", "Nd", "Nd", "Nd", "Y", "Y", "Y", "Te", "Te", "Te", "Te", "Te", "Te", "Te", "Te"], "fractional_positions": [[0.000, 0.500, 0.000], [0.500, 0.000, 0.000], [0.500, 0.000, 0.500], [0.000, 0.000, 0.000], [0.000, 0.000, 0.500], [0.500, 0.500, 0.000], [0.500, 0.500, 0.500], [0.000, 0.500, 0.500], [0.252, 0.744, 0.992], [0.252, 0.744, 0.503], [0.254, 0.262, 0.508], [0.741, 0.744, 0.992], [0.259, 0.256, 0.008], [0.746, 0.738, 0.492], [0.748, 0.256, 0.497], [0.748, 0.256, 0.008]], "formation_energy_uncorrected_mev_per_atom": -1397}


{"formula": "BaDyCd2", "functional": "PBE-GGA", "state": "optimized geometry", "cell": [[-0.616, -3.859, 0.347], [3.682, -0.693, -1.167], [2.523, 0.298, 7.784]], "species": ["Cd", "Cd", "Ba", "Dy"], "fractional_positions": [[0.000, 0.000, 0.798], [0.000, 0.000, 0.202], [0.500, 0.500, 0.500], [0.500, 0.500, 0.000]], "delta_e_f_ev_per_atom": -0.289}


{"formula": "Sr2ZrGePd", "functional": "PBE-GGA", "state": "optimized geometry", "cell": [[-1.639, 0.834, -5.511], [-2.271, -4.197, 0.041], [-4.840, 2.636, 1.839]], "species": ["Sr", "Sr", "Ge", "Zr", "Pd"], "fractional_positions": [[0.000, 0.000, 0.500], [0.500, 0.000, 0.000], [0.000, 0.500, 0.000], [0.500, 0.500, 0.500], [0.000, 0.000, 0.000]], "delta_e_f_ev_per_atom": 0.228}


{"formula": "PmNpTi2O8", "functional": "PBE-GGA", "state": "optimized geometry", "cell": [[5.173, 0.000, 0.000], [0.000, 5.173, 0.000], [-2.587, -2.587, 5.583]], "species": ["Pm", "Np", "Ti", "Ti", "O", "O", "O", "O", "O", "O", "O", "O"], "fractional_positions": [[0.750, 0.250, 0.500], [0.000, 0.000, 0.000], [0.500, 0.500, 0.000], [0.250, 0.750, 0.500], [0.759, 0.840, 0.156], [0.397, 0.317, 0.156], [0.595, 0.677, 0.678], [0.083, 0.001, 0.678], [0.999, 0.405, 0.322], [0.323, 0.917, 0.322], [0.160, 0.603, 0.844], [0.683, 0.241, 0.844]], "formation_energy_uncorrected_mev_per_atom": -3053}


{"formula": "SbTe2PPt", "functional": "PBE-GGA", "state": "optimized geometry", "cell": [[5.320, 0.000, 0.000], [0.000, 5.320, 0.000], [0.000, 0.000, 5.135]], "species": ["Sb", "Te", "Te", "Pt", "P"], "fractional_positions": [[0.000, 0.000, 0.500], [0.000, 0.500, 0.000], [0.500, 0.000, 0.000], [0.000, 0.000, 0.000], [0.500, 0.500, 0.500]], "formation_energy_uncorrected_mev_per_atom": 751, "polymorph_energy_mev_per_atom": 0}


{"formula": "MnRu2", "functional": "PBE-GGA", "state": "optimized geometry", "cell": [[-2.136, 1.576, -0.402], [-1.784, -4.658, 0.179], [-1.615, -0.651, 6.033]], "species": ["Mn", "Mn", "Ru", "Ru", "Ru", "Ru"], "fractional_positions": [[0.000, 0.999, 0.998], [0.666, 0.331, 0.671], [0.389, 0.778, 0.724], [0.058, 0.116, 0.393], [0.335, 0.671, 0.330], [0.719, 0.438, 0.050]], "delta_e_f_ev_per_atom": 0.022}


{"formula": "SrCu2Sn", "functional": "PBE-GGA", "state": "optimized geometry", "cell": [[4.955, 0.000, 0.000], [0.000, 4.955, 0.000], [2.477, 2.477, 8.792]], "species": ["Sr", "Sr", "Sn", "Sn", "Cu", "Cu", "Cu", "Cu"], "fractional_positions": [[0.500, 0.500, 0.000], [0.250, 0.750, 0.500], [0.000, 0.000, 0.000], [0.750, 0.250, 0.500], [0.875, 0.125, 0.250], [0.875, 0.625, 0.250], [0.375, 0.125, 0.750], [0.875, 0.125, 0.750]], "delta_e_f_ev_per_atom": -0.099}


{"formula": "Cs2NaAgCl4", "functional": "PBE-GGA", "state": "optimized geometry", "cell": [[-2.137, -3.551, 0.065], [7.221, -4.358, -0.661], [4.234, -2.408, 7.673]], "species": ["Cs", "Cs", "Na", "Ag", "Cl", "Cl", "Cl", "Cl"], "fractional_positions": [[0.000, 0.000, 0.000], [0.500, 0.000, 0.500], [0.500, 0.500, 0.000], [0.000, 0.500, 0.500], [0.000, 0.727, 0.819], [0.000, 0.273, 0.181], [0.500, 0.707, 0.319], [0.500, 0.293, 0.681]], "formation_energy_uncorrected_mev_per_atom": -1478}


{"formula": "La6Sm16Dy7", "functional": "PBE-GGA", "state": "optimized geometry", "cell": [[9.830, 0.000, 5.676], [3.277, 9.268, 5.676], [0.000, 0.000, 11.351]], "species": ["La", "La", "La", "La", "La", "La", "Sm", "Sm", "Sm", "Sm", "Sm", "Sm", "Sm", "Sm", "Sm", "Sm", "Sm", "Sm", "Sm", "Sm", "Sm", "Sm", "Dy", "Dy", "Dy", "Dy", "Dy", "Dy", "Dy"], "fractional_positions": [[0.277, 0.723, 0.277], [0.723, 0.277, 0.723], [0.723, 0.277, 0.277], [0.277, 0.723, 0.723], [0.723, 0.723, 0.277], [0.277, 0.277, 0.723], [0.874, 0.874, 0.379], [0.874, 0.874, 0.874], [0.874, 0.379, 0.874], [0.379, 0.874, 0.874], [0.126, 0.126, 0.126], [0.126, 0.126, 0.621], [0.126, 0.621, 0.126], [0.621, 0.126, 0.126], [0.653, 0.653, 0.042], [0.653, 0.653, 0.653], [0.653, 0.042, 0.653], [0.042, 0.653, 0.653], [0.347, 0.347, 0.347], [0.347, 0.347, 0.958], [0.347, 0.958, 0.347], [0.958, 0.347, 0.347], [0.000, 0.000, 0.000], [0.500, 0.000, 0.500], [0.000, 0.500, 0.000], [0.000, 0.500, 0.500], [0.500, 0.000, 0.000], [0.000, 0.000, 0.500], [0.500, 0.500, 0.000]], "delta_e_f_ev_per_atom": 0.208}


{"formula": "NaLaPrMg", "functional": "PBE-GGA", "state": "optimized geometry", "cell": [[5.700, 0.000, 0.000], [2.850, 4.936, 0.000], [2.850, 1.645, 4.654]], "species": ["Pr", "Na", "Mg", "La"], "fractional_positions": [[0.000, 0.000, 0.000], [0.750, 0.750, 0.750], [0.250, 0.250, 0.250], [0.500, 0.500, 0.500]], "delta_e_f_ev_per_atom": 0.115}


{"formula": "Cs3NaRe2O8", "functional": "PBE-GGA", "state": "optimized geometry", "cell": [[-6.249, 1.015, -1.191], [2.002, -1.038, 6.035], [1.143, 8.259, 1.042]], "species": ["Cs", "Cs", "Cs", "Na", "Re", "Re", "O", "O", "O", "O", "O", "O", "O", "O"], "fractional_positions": [[0.333, 0.667, 0.670], [0.667, 0.333, 0.330], [0.000, 0.000, 0.000], [0.000, 0.000, 0.500], [0.333, 0.667, 0.233], [0.667, 0.333, 0.767], [0.333, 0.667, 0.020], [0.667, 0.333, 0.980], [0.182, 0.818, 0.311], [0.818, 0.182, 0.689], [0.182, 0.363, 0.311], [0.818, 0.637, 0.689], [0.637, 0.818, 0.311], [0.363, 0.182, 0.689]], "formation_energy_uncorrected_mev_per_atom": -1720}


{"formula": "CsPmAgS3", "functional": "PBE-GGA", "state": "optimized geometry", "cell": [[-4.080, 0.094, 1.091], [1.261, -7.308, -2.836], [2.616, -3.462, 10.085]], "species": ["Cs", "Cs", "Pm", "Pm", "Ag", "Ag", "S", "S", "S", "S", "S", "S"], "fractional_positions": [[0.262, 0.523, 0.250], [0.738, 0.477, 0.750], [0.000, 0.000, 0.500], [0.000, 0.000, 0.000], [0.454, 0.909, 0.750], [0.546, 0.091, 0.250], [0.619, 0.238, 0.047], [0.381, 0.762, 0.953], [0.381, 0.762, 0.547], [0.619, 0.238, 0.453], [0.048, 0.095, 0.750], [0.952, 0.905, 0.250]], "formation_energy_uncorrected_mev_per_atom": -1153}


{"formula": "Ac5La4Tl4", "functional": "PBE-GGA", "state": "optimized geometry", "cell": [[4.972, 0.000, 1.264], [2.486, 9.718, 0.632], [0.092, 0.000, 10.050]], "species": ["Ac", "Ac", "Ac", "Ac", "Ac", "La", "La", "La", "La", "Tl", "Tl", "Tl", "Tl"], "fractional_positions": [[0.701, 0.922, 0.676], [0.299, 0.078, 0.324], [0.000, 0.000, 0.000], [0.623, 0.676, 0.078], [0.377, 0.324, 0.922], [0.901, 0.510, 0.689], [0.589, 0.311, 0.510], [0.099, 0.490, 0.311], [0.411, 0.689, 0.490], [0.761, 0.312, 0.165], [0.239, 0.688, 0.835], [0.927, 0.835, 0.312], [0.073, 0.165, 0.688]], "delta_e_f_ev_per_atom": -0.247}


{"formula": "CaLa2NiAg", "functional": "PBE-GGA", "state": "optimized geometry", "cell": [[-1.050, -4.813, 2.000], [2.910, 1.152, 4.299], [-4.562, 2.050, 2.539]], "species": ["Ni", "Ca", "Ag", "La", "La"], "fractional_positions": [[0.000, 0.000, 0.000], [0.000, 0.000, 0.500], [0.500, 0.500, 0.500], [0.000, 0.500, 0.000], [0.500, 0.000, 0.000]], "delta_e_f_ev_per_atom": -0.076, "polymorph_energy_mev_per_atom": 0}


Which total magnetization belongs to each record? In order, 3.614 0.000 1.092 2.202 0.000 0.000 2.636 2.000 0.000 0.064 0.000 0.000 0.003 0.000 2.007 0.010 0.000 0.000 Bohr magnetons per cell.